Entry 1:
The following is a DFT calculation (GGA-PBE) of Tb8Ho2Al after structural relaxation.

Lattice parameters (Å, degrees): 5.4049 7.4485 9.7304 112.45 106.12 90.00
Fractional coordinates of all 11 atoms:
1 Tb 0.9999 0.2477 0.9998
2 Tb 0.6332 0.3980 0.2664
3 Tb 0.0001 0.7523 0.0002
4 Tb 0.3668 0.6020 0.7336
5 Tb 0.1821 0.1827 0.3642
6 Tb 0.8179 0.8173 0.6358
7 Tb 0.3663 0.1301 0.7326
8 Tb 0.6337 0.8699 0.2674
9 Al 0.5000 0.0000 0.0000
10 Ho 0.8069 0.3071 0.6138
11 Ho 0.1931 0.6929 0.3862

Properties
- E_tot (eV per atom) = -4.521
- size of the total moment (Bohr magnetons per cell) = 0.000
- excess energy over the best structure of this formula in the dataset (meV/atom) = 56.5
- energy of formation (eV/f.u.) = 0.21

---

Entry 2:
The following is a DFT calculation (GGA-PBE) of Tb2Ho2Al after structural relaxation.

Lattice parameters (Å, degrees): 4.9435 4.9435 8.9654 74.00 74.00 60.00
Fractional coordinates of all 5 atoms:
1 Al 0.0000 0.0000 0.0000
2 Tb 0.4331 0.4331 0.7007
3 Tb 0.5669 0.5669 0.2993
4 Ho 0.6996 0.6996 0.9013
5 Ho 0.3004 0.3004 0.0987

Properties
- E_tot (eV per atom) = -3.948
- size of the total moment (Bohr magnetons per cell) = 0.000
- excess energy over the best structure of this formula in the dataset (meV/atom) = 615.9
- energy of formation (eV/f.u.) = 2.42

---

Entry 3:
The following is a DFT calculation (GGA-PBE) of Tb4Ho2Al after structural relaxation.

Lattice parameters (Å, degrees): 3.6038 3.6038 18.9800 84.55 84.55 60.00
Fractional coordinates of all 7 atoms:
1 Al 0.0000 0.0000 0.0000
2 Ho 0.8086 0.8086 0.5743
3 Ho 0.1914 0.1914 0.4257
4 Tb 0.0920 0.0920 0.7239
5 Tb 0.2934 0.2934 0.1199
6 Tb 0.7066 0.7066 0.8801
7 Tb 0.9080 0.9080 0.2761

Properties
- E_tot (eV per atom) = -4.524
- size of the total moment (Bohr magnetons per cell) = 0.031
- energy of formation (eV/f.u.) = -0.25

---

Entry 4:
The following is a DFT calculation (GGA-PBE) of TbHo3Al3 after structural relaxation.

Lattice parameters (Å, degrees): 7.2141 7.2141 6.9107 90.00 90.00 90.38
Fractional coordinates of all 14 atoms:
1 Al 0.5000 0.0000 0.2528
2 Al 0.0000 0.5000 0.2528
3 Al 0.0000 0.5000 0.7472
4 Al 0.0000 0.0000 0.7446
5 Al 0.0000 0.0000 0.2554
6 Al 0.5000 0.0000 0.7472
7 Tb 0.2568 0.2568 0.0000
8 Tb 0.7432 0.7432 0.0000
9 Ho 0.2581 0.2581 0.5000
10 Ho 0.2531 0.7469 0.0000
11 Ho 0.2560 0.7440 0.5000
12 Ho 0.7419 0.7419 0.5000
13 Ho 0.7469 0.2531 0.0000
14 Ho 0.7440 0.2560 0.5000

Properties
- E_tot (eV per atom) = -4.493
- size of the total moment (Bohr magnetons per cell) = 0.000
- energy of formation (eV/f.u.) = -1.86

---

Entry 5:
The following is a DFT calculation (GGA-PBE) of TbHoAl after structural relaxation.

Lattice parameters (Å, degrees): 4.7252 4.7252 7.4836 90.00 90.00 90.00
Fractional coordinates of all 6 atoms:
1 Al 0.5000 0.5000 0.0000
2 Al 0.0000 0.0000 0.0000
3 Tb 0.5000 0.0000 0.7284
4 Tb 0.0000 0.5000 0.2716
5 Ho 0.0000 0.5000 0.7425
6 Ho 0.5000 0.0000 0.2575

Properties
- E_tot (eV per atom) = -4.396
- size of the total moment (Bohr magnetons per cell) = 0.000
- excess energy over the best structure of this formula in the dataset (meV/atom) = 172.5
- energy of formation (eV/f.u.) = -0.24

---

Entry 6:
The following is a DFT calculation (GGA-PBE) of Tb3HoAl8 after structural relaxation.

Lattice parameters (Å, degrees): 5.5585 5.5585 9.1335 90.00 90.00 120.00
Fractional coordinates of all 12 atoms:
1 Ho 0.0000 0.0000 0.5678
2 Al 0.9909 0.4955 0.7493
3 Al 0.3333 0.6667 0.9996
4 Al 0.6758 0.8379 0.2505
5 Al 0.5045 0.4955 0.7493
6 Al 0.3333 0.6667 0.5004
7 Al 0.1621 0.3242 0.2505
8 Al 0.5045 0.0091 0.7493
9 Al 0.1621 0.8379 0.2505
10 Tb 0.6667 0.3333 0.0682
11 Tb 0.0000 0.0000 0.9321
12 Tb 0.6667 0.3333 0.4324

Properties
- E_tot (eV per atom) = -4.544
- size of the total moment (Bohr magnetons per cell) = 0.000
- excess energy over the best structure of this formula in the dataset (meV/atom) = 8.7
- energy of formation (eV/f.u.) = -6.12

---

Entry 7:
The following is a DFT calculation (GGA-PBE) of Tb5Ho12Al2 after structural relaxation.

Lattice parameters (Å, degrees): 9.2627 8.8376 8.2155 92.17 90.00 121.60
Fractional coordinates of all 19 atoms:
1 Al 0.6707 0.0000 0.0000
2 Al 0.3293 0.0000 0.0000
3 Ho 0.8216 0.2524 0.6741
4 Ho 0.4308 0.2524 0.6741
5 Ho 0.1784 0.7476 0.3259
6 Ho 0.3282 0.2851 0.2277
7 Ho 0.0431 0.7149 0.7723
8 Ho 0.9224 0.8448 0.1218
9 Ho 0.9569 0.2851 0.2277
10 Ho 0.5692 0.7476 0.3259
11 Ho 0.4467 0.8934 0.6785
12 Ho 0.0776 0.1552 0.8782
13 Ho 0.6718 0.7149 0.7723
14 Ho 0.5533 0.1066 0.3215
15 Tb 0.6906 0.3812 0.0145
16 Tb 0.2323 0.4646 0.5726
17 Tb 0.0000 0.0000 0.5000
18 Tb 0.3094 0.6188 0.9855
19 Tb 0.7677 0.5354 0.4274

Properties
- E_tot (eV per atom) = -4.487
- size of the total moment (Bohr magnetons per cell) = 0.000
- energy of formation (eV/f.u.) = 0.32

---

Entry 8:
The following is a DFT calculation (GGA-PBE) of Tb2HoAl9 after structural relaxation.

Lattice parameters (Å, degrees): 4.2631 4.2631 12.7866 90.00 90.00 90.00
Fractional coordinates of all 12 atoms:
1 Al 0.5000 0.0000 0.5000
2 Al 0.0000 0.5000 0.8345
3 Al 0.5000 0.0000 0.8345
4 Al 0.0000 0.5000 0.5000
5 Al 0.5000 0.5000 0.6670
6 Al 0.5000 0.0000 0.1655
7 Al 0.0000 0.5000 0.1655
8 Al 0.5000 0.5000 0.0000
9 Al 0.5000 0.5000 0.3330
10 Tb 0.0000 0.0000 0.3327
11 Tb 0.0000 0.0000 0.6673
12 Ho 0.0000 0.0000 0.0000

Properties
- E_tot (eV per atom) = -4.381
- size of the total moment (Bohr magnetons per cell) = 0.000
- excess energy over the best structure of this formula in the dataset (meV/atom) = 0.0
- energy of formation (eV/f.u.) = -5.05

---

Entry 9:
The following is a DFT calculation (GGA-PBE) of Tb8HoAl2 after structural relaxation.

Lattice parameters (Å, degrees): 5.1827 8.2242 8.6496 113.02 107.43 90.00
Fractional coordinates of all 11 atoms:
1 Tb 0.3125 0.0488 0.6250
2 Tb 0.9448 0.2667 0.8896
3 Tb 0.0552 0.7333 0.1104
4 Tb 0.8476 0.7802 0.6952
5 Tb 0.6109 0.4704 0.2218
6 Tb 0.6875 0.9512 0.3750
7 Tb 0.1524 0.2198 0.3048
8 Tb 0.3891 0.5296 0.7782
9 Ho 0.5000 0.0000 0.0000
10 Al 0.2236 0.6421 0.4472
11 Al 0.7764 0.3579 0.5528

Properties
- E_tot (eV per atom) = -4.568
- size of the total moment (Bohr magnetons per cell) = 0.000
- excess energy over the best structure of this formula in the dataset (meV/atom) = 0.0
- energy of formation (eV/f.u.) = -1.14

---

Entry 10:
The following is a DFT calculation (GGA-PBE) of TbHo6Al after structural relaxation.

Lattice parameters (Å, degrees): 9.1216 8.4819 6.2281 47.05 42.92 57.45
Fractional coordinates of all 8 atoms:
1 Ho 0.2388 0.0367 0.2806
2 Ho 0.9629 0.5559 0.2426
3 Ho 0.0371 0.4441 0.7574
4 Ho 0.5559 0.2386 0.1687
5 Ho 0.4441 0.7614 0.8313
6 Ho 0.7612 0.9633 0.7194
7 Tb 0.5000 0.5000 0.5000
8 Al 0.0000 0.0000 0.0000

Properties
- E_tot (eV per atom) = -4.437
- size of the total moment (Bohr magnetons per cell) = 0.000
- energy of formation (eV/f.u.) = 0.34

---

Entry 11:
The following is a DFT calculation (GGA-PBE) of Tb4Ho3Al after structural relaxation.

Lattice parameters (Å, degrees): 3.5369 3.5369 18.9923 90.00 90.00 90.00
Fractional coordinates of all 8 atoms:
1 Ho 0.5000 0.5000 0.2362
2 Ho 0.5000 0.5000 0.5000
3 Ho 0.5000 0.5000 0.7638
4 Tb 0.0000 0.0000 0.1010
5 Tb 0.0000 0.0000 0.3672
6 Tb 0.0000 0.0000 0.8990
7 Tb 0.0000 0.0000 0.6328
8 Al 0.5000 0.5000 0.0000

Properties
- E_tot (eV per atom) = -4.579
- size of the total moment (Bohr magnetons per cell) = 0.000
- excess energy over the best structure of this formula in the dataset (meV/atom) = 0.0
- energy of formation (eV/f.u.) = -0.64

---

Entry 12:
The following is a DFT calculation (GGA-PBE) of TbHoAl6 after structural relaxation.

Lattice parameters (Å, degrees): 5.5046 5.5046 5.5046 90.00 90.00 90.00
Fractional coordinates of all 8 atoms:
1 Al 0.5000 0.2501 0.0000
2 Al 0.0000 0.5000 0.7499
3 Al 0.5000 0.7499 0.0000
4 Al 0.0000 0.5000 0.2501
5 Al 0.7499 0.0000 0.5000
6 Al 0.2501 0.0000 0.5000
7 Ho 0.5000 0.5000 0.5000
8 Tb 0.0000 0.0000 0.0000

Properties
- E_tot (eV per atom) = -4.044
- size of the total moment (Bohr magnetons per cell) = 0.000
- excess energy over the best structure of this formula in the dataset (meV/atom) = 344.9
- energy of formation (eV/f.u.) = -0.69